Density functional theory data (PBE) for a relaxed Ni2PdPt3 crystal.

Calculated values
- Symmetry: R-3m, No. 166
- ΔE_f: -0.1 eV per formula unit
- ΔE to the lowest computed polymorph: 76 meV per atom
- Size of the total moment: 2.9 μB per formula unit

The structure in POSCAR format:
```
Ni2PdPt3
1.0
-0.3574 1.2567 5.3272
-4.9045 0.9166 2.2786
-2.2664 -5.6991 4.0163
Pt Pd Ni
6 2 4
Direct
0.2715 0.7709 0.6860 Pt
0.7285 0.7285 0.3140 Pt
0.2715 0.2715 0.6860 Pt
0.7709 0.2715 0.6860 Pt
0.7285 0.2291 0.3140 Pt
0.2291 0.7285 0.3140 Pt
0.7741 0.7741 0.6776 Pd
0.2259 0.2259 0.3224 Pd
0.5000 0.0000 0.0000 Ni
0.5000 0.5000 0.0000 Ni
0.0000 0.5000 0.0000 Ni
0.0000 0.0000 0.0000 Ni
```

***

Density functional theory data (PBE) for a relaxed Ac3UTe2O6 crystal.

Calculated values
- Formation energy without anion corrections: -2859 kJ/mol of formula units
- Symmetry: C2/m, No. 12
- Size of the total moment: 0.0 μB per formula unit

The structure in POSCAR format:
```
Ac3UTe2O6
1.0
5.9888 0.0000 0.7180
0.0000 7.0740 0.0000
0.2141 -3.5370 6.7178
Ac Te U O
3 2 1 6
Direct
0.0000 0.5000 0.0000 Ac
0.5000 0.5000 0.5000 Ac
0.5000 0.0000 0.5000 Ac
0.9479 0.2651 0.5303 Te
0.0521 0.7349 0.4697 Te
0.5000 0.0000 0.0000 U
0.3146 0.7134 0.8865 O
0.3146 0.1731 0.8865 O
0.6854 0.8269 0.1135 O
0.3700 0.1512 0.3025 O
0.6854 0.2866 0.1135 O
0.6300 0.8488 0.6975 O
```

***

Density functional theory data (PBE) for a relaxed Ti2InPd crystal.

Calculated values
- Symmetry: I-42d, No. 122
- ΔE_f: 0.5 eV per formula unit
- Size of the total moment: 0.0 μB per formula unit

The structure in POSCAR format:
```
Ti2InPd
1.0
3.8487 0.0000 0.0000
0.0000 3.8487 0.0000
1.9243 1.9243 10.1170
Pd In Ti
2 2 4
Direct
0.5000 0.5000 0.0000 Pd
0.2500 0.7500 0.5000 Pd
0.0000 0.0000 0.0000 In
0.7500 0.2500 0.5000 In
0.1242 0.6250 0.2500 Ti
0.8750 0.8758 0.7500 Ti
0.6258 0.1250 0.2500 Ti
0.3750 0.3742 0.7500 Ti
```

***

Density functional theory data (PBE) for a relaxed CeDy2Se crystal.

Calculated values
- Formation energy without anion corrections: -280 kJ/mol of formula units
- Symmetry: R3m, No. 160
- ΔE to the lowest computed polymorph: 0 meV per atom
- Size of the total moment: 1.7 μB per formula unit

The structure in POSCAR format:
```
CeDy2Se
1.0
-2.1980 0.5934 -2.9721
0.7194 -1.7379 -3.2371
-6.1005 -7.7044 0.6154
Dy Ce Se
2 1 1
Direct
0.0657 0.0657 0.8028 Dy
0.2678 0.2678 0.1966 Dy
0.4997 0.4997 0.5009 Ce
0.6668 0.6668 0.9996 Se
```

***

Density functional theory data (PBE) for a relaxed CeHo4Hg4 crystal.

Calculated values
- Symmetry: P4_2/n, No. 86
- ΔE_f: -1.8 eV per formula unit
- Size of the total moment: 1.3 μB per formula unit

The structure in POSCAR format:
```
CeHo4Hg4
1.0
-2.7244 -2.9927 3.7409
7.3645 0.8180 6.0177
-3.8230 7.9738 3.5947
Ho Hg Ce
8 8 2
Direct
0.4184 0.5873 0.1502 Ho
0.9184 0.6502 0.9127 Ho
0.5816 0.1502 0.4127 Ho
0.0816 0.0873 0.6502 Ho
0.9184 0.3498 0.0873 Ho
0.5816 0.8498 0.5873 Ho
0.4184 0.4127 0.8498 Ho
0.0816 0.9127 0.3498 Ho
0.5813 0.8942 0.2094 Hg
0.4187 0.7906 0.8942 Hg
0.5813 0.1058 0.7906 Hg
0.0813 0.2906 0.3942 Hg
0.0813 0.7094 0.6058 Hg
0.9187 0.3942 0.7094 Hg
0.4187 0.2094 0.1058 Hg
0.9187 0.6058 0.2906 Hg
0.0000 0.0000 0.0000 Ce
0.5000 0.5000 0.5000 Ce
```

***

Density functional theory data (PBE) for a relaxed Li4CaCe crystal.

Calculated values
- Symmetry: F-43m, No. 216
- ΔE_f: 1.0 eV per formula unit
- Size of the total moment: 2.0 μB per formula unit

The structure in POSCAR format:
```
Li4CaCe
1.0
6.0556 0.0000 0.0000
3.0278 5.2443 0.0000
3.0278 1.7481 4.9444
Ca Li Ce
1 4 1
Direct
0.0000 0.0000 0.0000 Ca
0.1234 0.6255 0.6255 Li
0.6255 0.6255 0.6255 Li
0.6255 0.6255 0.1234 Li
0.6255 0.1234 0.6255 Li
0.2500 0.2500 0.2500 Ce
```

***

Density functional theory data (PBE) for a relaxed Mg4Tc crystal.

Calculated values
- Symmetry: Im-3m, No. 229
- ΔE_f: 2.2 eV per formula unit
- ΔE to the lowest computed polymorph: 297 meV per atom
- Size of the total moment: 0.0 μB per formula unit

The structure in POSCAR format:
```
Mg4Tc
1.0
-3.1206 3.1206 3.1206
3.1206 -3.1206 3.1206
3.1206 3.1206 -3.1206
Mg Tc
4 1
Direct
0.0000 0.0000 0.5000 Mg
0.5000 0.5000 0.5000 Mg
0.5000 0.0000 0.0000 Mg
0.0000 0.5000 0.0000 Mg
0.0000 0.0000 0.0000 Tc
```

***

Density functional theory data (PBE) for a relaxed In7Sn2Hg2 crystal.

Calculated values
- Symmetry: C2/m, No. 12
- ΔE_f: 1.0 eV per formula unit
- ΔE to the lowest computed polymorph: 40 meV per atom
- Size of the total moment: 0.0 μB per formula unit

The structure in POSCAR format:
```
In7Sn2Hg2
1.0
-3.1984 2.7694 -5.6207
-5.1542 0.2209 4.5654
2.1177 5.7484 3.1510
Hg Sn In
2 2 7
Direct
0.0000 0.8356 0.1644 Hg
0.0000 0.1644 0.8356 Hg
0.5914 0.7207 0.7207 Sn
0.4086 0.2793 0.2793 Sn
0.7681 0.0156 0.4197 In
0.7879 0.4879 0.4879 In
0.5000 0.0000 0.0000 In
0.2319 0.5803 0.9844 In
0.2319 0.9844 0.5803 In
0.7681 0.4197 0.0156 In
0.2121 0.5121 0.5121 In
```

***

Density functional theory data (PBE) for a relaxed Sr2FeH6 crystal.

Calculated values
- Symmetry: Fm-3m, No. 225
- Size of the total moment: 0.0 μB per formula unit
- Calculated total energy: -4.072 eV/atom

The structure in POSCAR format:
```
Sr2FeH6
1.0
-2.4801 -0.3199 -4.6091
2.7496 -0.6518 -4.4172
-0.1962 -4.5722 -2.5600
H Sr Fe
6 2 1
Direct
0.2179 0.2179 0.7821 H
0.7821 0.2179 0.2179 H
0.2179 0.7821 0.7821 H
0.2179 0.7821 0.2179 H
0.7821 0.2179 0.7821 H
0.7821 0.7821 0.2179 H
0.7500 0.7500 0.7500 Sr
0.2500 0.2500 0.2500 Sr
0.0000 0.0000 0.0000 Fe
```

***

Density functional theory data (PBE) for a relaxed Sc2NbAs crystal.

Calculated values
- Symmetry: R-3m, No. 166
- ΔE_f: 0.5 eV per formula unit
- Size of the total moment: 0.0 μB per formula unit

The structure in POSCAR format:
```
Sc2NbAs
1.0
-2.9969 -3.0389 9.4204
-1.4160 -5.6208 8.5651
0.1177 -3.1869 9.8382
Nb Sc As
1 2 1
Direct
0.5000 0.5000 0.5000 Nb
0.9112 0.9112 0.9112 Sc
0.0888 0.0888 0.0888 Sc
0.0000 0.0000 0.0000 As
```

***

Density functional theory data (PBE) for a relaxed TcNiGe2 crystal.

Calculated values
- Symmetry: Pnma, No. 62
- ΔE_f: -1.0 eV per formula unit
- ΔE to the lowest computed polymorph: 0 meV per atom
- Size of the total moment: 0.0 μB per formula unit

The structure in POSCAR format:
```
TcNiGe2
1.0
3.4413 0.0000 0.0000
0.0000 5.5081 0.0000
0.0000 0.0000 12.1358
Ge Ni Tc
8 4 4
Direct
0.7500 0.3466 0.8095 Ge
0.7500 0.3149 0.5360 Ge
0.2500 0.6534 0.1905 Ge
0.2500 0.1534 0.3095 Ge
0.2500 0.1851 0.0360 Ge
0.7500 0.8149 0.9640 Ge
0.2500 0.6851 0.4640 Ge
0.7500 0.8466 0.6905 Ge
0.2500 0.5172 0.9134 Ni
0.7500 0.4828 0.0866 Ni
0.2500 0.0172 0.5866 Ni
0.7500 0.9828 0.4134 Ni
0.7500 0.9920 0.1718 Tc
0.7500 0.4920 0.3282 Tc
0.2500 0.0080 0.8282 Tc
0.2500 0.5080 0.6718 Tc
```

***

Density functional theory data (PBE) for a relaxed CsNaIn crystal.

Calculated values
- Symmetry: Cm, No. 8
- ΔE_f: -0.1 eV per formula unit
- ΔE to the lowest computed polymorph: 0 meV per atom
- Size of the total moment: 0.0 μB per formula unit

The structure in POSCAR format:
```
CsNaIn
1.0
2.5813 4.5020 0.0115
-2.5813 4.5020 0.0115
0.0000 2.9263 13.6331
Na Cs In
2 2 2
Direct
0.1783 0.1783 0.4138 Na
0.2562 0.2562 0.1758 Na
0.6549 0.6549 0.9606 Cs
0.4381 0.4381 0.6289 Cs
0.8834 0.8834 0.2950 In
0.5510 0.5510 0.2948 In
```

***

Density functional theory data (PBE) for a relaxed MnNiBr2 crystal.

Calculated values
- Formation energy without anion corrections: -81 kJ/mol of formula units
- Symmetry: Cm, No. 8
- ΔE to the lowest computed polymorph: 0 meV per atom
- Size of the total moment: 5.0 μB per formula unit

The structure in POSCAR format:
```
MnNiBr2
1.0
-1.7408 -3.1958 1.5792
2.2142 -2.9395 1.4814
-0.0703 3.4540 6.2079
Mn Br Ni
1 2 1
Direct
0.4559 0.4559 0.3191 Mn
0.8021 0.8021 0.6074 Br
0.1124 0.1124 0.1174 Br
0.1296 0.1296 0.4560 Ni
```

***

Density functional theory data (PBE) for a relaxed CaSiSb crystal.

Calculated values
- Formation energy without anion corrections: 36 kJ/mol of formula units
- Symmetry: F-43m, No. 216
- ΔE to the lowest computed polymorph: 361 meV per atom
- Size of the total moment: 0.0 μB per formula unit

The structure in POSCAR format:
```
CaSiSb
1.0
-4.2017 2.4305 1.0031
-3.2646 -1.9113 3.2028
-0.6434 2.1099 4.4388
Ca Sb Si
1 1 1
Direct
0.7500 0.7500 0.7500 Ca
0.0000 0.0000 0.0000 Sb
0.5000 0.5000 0.5000 Si
```

***

Density functional theory data (PBE) for a relaxed NaFe3N crystal.

Calculated values
- Formation energy without anion corrections: 141 kJ/mol of formula units
- Symmetry: Pm-3m, No. 221
- ΔE to the lowest computed polymorph: 0 meV per atom
- Size of the total moment: 7.4 μB per formula unit

The structure in POSCAR format:
```
NaFe3N
1.0
3.9300 0.0000 0.0000
0.0000 3.9300 0.0000
0.0000 0.0000 3.9300
Fe Na N
3 1 1
Direct
0.0000 0.0000 0.5000 Fe
0.0000 0.5000 0.0000 Fe
0.5000 0.0000 0.0000 Fe
0.5000 0.5000 0.5000 Na
0.0000 0.0000 0.0000 N
```

***

Density functional theory data (PBE) for a relaxed EuEr2Hg crystal.

Calculated values
- Symmetry: Fm-3m, No. 225
- ΔE_f: -0.1 eV per formula unit
- ΔE to the lowest computed polymorph: 139 meV per atom
- Size of the total moment: 7.5 μB per formula unit

The structure in POSCAR format:
```
EuEr2Hg
1.0
-4.6832 0.8965 -2.5736
-0.8062 -2.0491 -4.9509
-3.5203 -4.0589 -0.7120
Er Hg Eu
2 1 1
Direct
0.2498 0.2498 0.2505 Er
0.7502 0.7502 0.7495 Er
0.5000 0.5000 0.5000 Hg
0.0000 0.0000 0.0000 Eu
```

***

Density functional theory data (PBE) for a relaxed HoEr3Ag2 crystal.

Calculated values
- Symmetry: P4/mmm, No. 123
- ΔE_f: -1.2 eV per formula unit
- ΔE to the lowest computed polymorph: 0 meV per atom
- Size of the total moment: 0.0 μB per formula unit

The structure in POSCAR format:
```
HoEr3Ag2
1.0
3.5847 0.0000 0.0000
0.0000 3.5847 0.0000
0.0000 0.0000 12.1564
Ho Ag Er
1 2 3
Direct
0.5000 0.5000 0.5000 Ho
0.5000 0.5000 0.8507 Ag
0.5000 0.5000 0.1493 Ag
0.0000 0.0000 0.2987 Er
0.0000 0.0000 0.7013 Er
0.0000 0.0000 0.0000 Er
```

***

Density functional theory data (PBE) for a relaxed AcNd3Dy crystal.

Calculated values
- Symmetry: R-3, No. 148
- ΔE_f: 1.8 eV per formula unit
- ΔE to the lowest computed polymorph: 108 meV per atom
- Size of the total moment: 0.0 μB per formula unit

The structure in POSCAR format:
```
AcNd3Dy
1.0
6.3254 0.0000 0.0000
3.1627 5.4780 0.0000
3.1627 1.8260 11.5907
Nd Dy Ac
6 2 2
Direct
0.0936 0.4178 0.7379 Nd
0.9064 0.5822 0.2621 Nd
0.7507 0.0936 0.7379 Nd
0.4178 0.7507 0.7379 Nd
0.5822 0.2493 0.2621 Nd
0.2493 0.9064 0.2621 Nd
0.1660 0.1660 0.5020 Dy
0.8340 0.8340 0.4980 Dy
0.6662 0.6662 0.0014 Ac
0.3337 0.3337 0.9988 Ac
```

***

Density functional theory data (PBE) for a relaxed TiNb2Au crystal.

Calculated values
- Symmetry: Cmm2, No. 35
- ΔE_f: -0.5 eV per formula unit
- ΔE to the lowest computed polymorph: 50 meV per atom
- Size of the total moment: 0.3 μB per formula unit

The structure in POSCAR format:
```
TiNb2Au
1.0
2.8205 -0.2884 0.0000
-0.3590 2.8124 0.0000
0.0000 0.0000 9.0546
Nb Ti Au
2 1 1
Direct
0.5000 0.5000 0.7425 Nb
0.0000 0.0000 0.0009 Nb
0.0000 0.0000 0.4996 Ti
0.5000 0.5000 0.2570 Au
```

***

Density functional theory data (PBE) for a relaxed PaTi6Nb2 crystal.

Calculated values
- Symmetry: P-1, No. 2
- ΔE_f: 0.4 eV per formula unit
- Size of the total moment: 0.0 μB per formula unit

The structure in POSCAR format:
```
PaTi6Nb2
1.0
-1.2962 4.0227 -3.3984
-2.7787 3.2840 7.4311
4.5420 4.4412 7.4738
Nb Ti Pa
4 12 2
Direct
0.4275 0.9111 0.6697 Nb
0.8479 0.6889 0.7791 Nb
0.1521 0.3111 0.2209 Nb
0.5725 0.0889 0.3303 Nb
0.9778 0.1327 0.5475 Ti
0.0856 0.5812 0.3332 Ti
0.8152 0.9747 0.8826 Ti
0.4649 0.6530 0.5444 Ti
0.1848 0.0253 0.1174 Ti
0.7538 0.2539 0.0083 Ti
0.5351 0.3470 0.4556 Ti
0.9144 0.4188 0.6667 Ti
0.2462 0.7461 0.9917 Ti
0.7026 0.5215 0.1112 Ti
0.2974 0.4785 0.8888 Ti
0.0222 0.8673 0.4525 Ti
0.3558 0.2107 0.7687 Pa
0.6442 0.7893 0.2313 Pa
```

***

Density functional theory data (PBE) for a relaxed Mg6FeSn crystal.

Calculated values
- Symmetry: Amm2, No. 38
- ΔE_f: 0.8 eV per formula unit
- ΔE to the lowest computed polymorph: 6 meV per atom
- Size of the total moment: 2.5 μB per formula unit

The structure in POSCAR format:
```
Mg6FeSn
1.0
-4.1446 4.3786 1.5667
-1.8143 -5.8469 -1.1517
0.6125 -1.1328 4.7863
Sn Mg Fe
1 6 1
Direct
0.3309 0.6691 0.5000 Sn
0.1531 0.3219 0.0000 Mg
0.6781 0.8469 0.0000 Mg
0.1650 0.8350 0.0000 Mg
0.8305 0.6654 0.5000 Mg
0.6752 0.3248 0.0000 Mg
0.3346 0.1695 0.5000 Mg
0.8325 0.1675 0.5000 Fe
```

***

Density functional theory data (PBE) for a relaxed VCdGeAu2 crystal.

Calculated values
- Symmetry: P4/mmm, No. 123
- ΔE_f: 4.5 eV per formula unit
- Size of the total moment: 2.6 μB per formula unit

The structure in POSCAR format:
```
VCdGeAu2
1.0
-4.5788 1.7202 0.7366
-1.0510 -4.0789 2.9927
1.5778 2.5022 3.9644
V Au Ge Cd
1 2 1 1
Direct
0.0000 0.0000 0.0000 V
0.5000 0.0000 0.0000 Au
0.0000 0.0000 0.5000 Au
0.5000 0.5000 0.5000 Ge
0.0000 0.5000 0.0000 Cd
```

***

Density functional theory data (PBE) for a relaxed Si2Bi2Pd crystal.

Calculated values
- Formation energy without anion corrections: 61 kJ/mol of formula units
- Symmetry: P4/mbm, No. 127
- Size of the total moment: 0.0 μB per formula unit

The structure in POSCAR format:
```
Si2Bi2Pd
1.0
6.4431 0.0000 0.0000
0.0000 6.4431 0.0000
0.0000 0.0000 5.2742
Bi Si Pd
4 4 2
Direct
0.6878 0.8122 0.5000 Bi
0.1878 0.6878 0.5000 Bi
0.8122 0.3122 0.5000 Bi
0.3122 0.1878 0.5000 Bi
0.3666 0.8666 0.0000 Si
0.8666 0.6334 0.0000 Si
0.6334 0.1334 0.0000 Si
0.1334 0.3666 0.0000 Si
0.5000 0.5000 0.0000 Pd
0.0000 0.0000 0.0000 Pd
```

***

Density functional theory data (PBE) for a relaxed Sc2FeMo crystal.

Calculated values
- Symmetry: Pm, No. 6
- ΔE_f: 0.6 eV per formula unit
- ΔE to the lowest computed polymorph: 122 meV per atom
- Size of the total moment: 0.0 μB per formula unit

The structure in POSCAR format:
```
Sc2FeMo
1.0
-3.8738 0.8448 0.9154
-0.8059 -0.5097 -2.9401
-1.2788 -5.6748 -0.1745
Sc Mo Fe
2 1 1
Direct
0.5000 0.2679 0.2920 Sc
0.0000 0.0012 0.9602 Sc
0.5000 0.6741 0.7192 Mo
0.0000 0.5568 0.5286 Fe
```

***

no.,V (Å³/cell)
1,172.3
2,283.5
3,149.9
4,116.6
5,502.2
6,157.0
7,121.6
8,322.6
9,102.0
10,87.3
11,230.0
12,316.7
13,96.7
14,86.1
15,60.7
16,112.5
17,156.2
18,401.6
19,70.9
20,322.9
21,165.2
22,126.4
23,219.0
24,70.9